Computed, not measured: CdInPb2 at its PBEsol-relaxed geometry at the SCAN level of DFT.

Structure (POSCAR):
```
CdInPb2
1.0
-0.4929 0.1757 -3.3240
2.6385 -1.7655 1.1152
-6.1092 -8.8532 0.4381
Pb In Cd
2 1 1
Cartesian
-0.0482 -0.0698 0.0035 Pb
-3.4185 -7.3035 -0.7823 Pb
-0.5445 -3.1387 -0.9884 In
-3.0070 -4.3577 0.2156 Cd
```

The calculation puts the total energy at -1.976 Ha/atom. Its formation energy is 0.075 eV/atom. Its total magnetic moment is 0.000 μB per atom. The crystal system is orthorhombic. The calculation puts the volume at 108 Å³/f.u.

Computed, not measured: CdInPb2 at its PBEsol-relaxed geometry at the SCAN level of DFT.

Structure (POSCAR):
```
CdInPb2
1.0
3.5770 0.0000 0.0000
0.0000 5.5012 0.0000
-1.7885 -2.7506 5.4221
Pb In Cd
2 1 1
Cartesian
1.7885 2.7506 5.3344 Pb
1.7885 0.0000 2.8852 Pb
0.0000 2.7506 2.5363 In
1.7885 2.7506 0.0883 Cd
```

The calculation puts the total energy at -1.976 Ha/atom. Its formation energy is 0.081 eV/atom. Its total magnetic moment is 0.000 μB per atom. The crystal system is orthorhombic. The calculation puts the volume at 107 Å³/f.u.

Computed, not measured: CdInPb at its PBEsol-relaxed geometry at the SCAN level of DFT.

Structure (POSCAR):
```
CdInPb
1.0
3.3167 0.0000 0.0000
0.0000 3.3167 0.0000
-1.6583 -1.6583 6.9389
Pb In Cd
1 1 1
Cartesian
0.0000 0.0000 4.7109 Pb
1.6583 1.6583 2.1641 In
0.0000 0.0000 0.0639 Cd
```

The calculation puts the total energy at -1.707 Ha/atom. Its formation energy is 0.069 eV/atom. Its total magnetic moment is 0.000 μB per atom. The crystal system is tetragonal. The calculation puts the volume at 76 Å³/f.u.

Computed, not measured: CdInPb2 at its PBEsol-relaxed geometry at the SCAN level of DFT.

Structure (POSCAR):
```
CdInPb2
1.0
4.7646 0.0000 0.0000
0.0000 4.7646 0.0000
-2.3823 -2.3823 4.7105
Pb In Cd
2 1 1
Cartesian
2.3823 0.0000 2.3553 Pb
0.0000 2.3823 2.3553 Pb
0.0000 0.0000 0.0000 In
2.3823 2.3823 0.0000 Cd
```

The calculation puts the total energy at -1.976 Ha/atom. Its formation energy is 0.078 eV/atom. Its total magnetic moment is 0.000 μB per atom. The crystal system is tetragonal. The calculation puts the volume at 107 Å³/f.u.

Computed, not measured: CdIn2Pb at its PBEsol-relaxed geometry at the SCAN level of DFT.

Structure (POSCAR):
```
CdIn2Pb
1.0
-2.5829 2.1675 -0.1944
-1.6842 -2.3031 -3.3013
-3.5696 -3.8495 4.5065
Pb In Cd
1 2 1
Cartesian
-1.8108 -1.9528 2.2861 Pb
-3.5393 -3.8169 4.4683 In
-2.9790 -0.9795 -0.6805 In
-4.8620 -3.0103 1.6968 Cd
```

The calculation puts the total energy at -1.586 Ha/atom. Its formation energy is 0.072 eV/atom. Its total magnetic moment is 0.000 μB per atom. The crystal system is orthorhombic. The calculation puts the volume at 102 Å³/f.u.

Computed, not measured: CdIn2Pb at its PBEsol-relaxed geometry at the SCAN level of DFT.

Structure (POSCAR):
```
CdIn2Pb
1.0
-0.0790 -0.3656 -4.7563
4.6924 -0.8621 -0.0116
-3.1123 -3.7754 2.7347
Pb In Cd
1 2 1
Cartesian
2.3067 -0.6139 -2.3839 Pb
0.0000 0.0000 0.0000 In
-0.4423 -2.3775 -2.2027 In
1.9434 -2.6257 0.1696 Cd
```

The calculation puts the total energy at -1.586 Ha/atom. Its formation energy is 0.082 eV/atom. Its total magnetic moment is 0.000 μB per atom. The crystal system is tetragonal. The calculation puts the volume at 102 Å³/f.u.

Computed, not measured: CdIn2Pb at its PBEsol-relaxed geometry at the SCAN level of DFT.

Structure (POSCAR):
```
CdIn2Pb
1.0
-0.0785 -0.0902 -3.2913
1.4893 -2.9372 0.0450
-8.3556 -4.2317 0.3154
Pb In Cd
1 2 1
Cartesian
0.7054 -1.5137 -1.6232 Pb
-6.1004 -3.0896 0.2302 In
-2.2552 -1.1421 0.0851 In
-3.4725 -3.6296 -1.4655 Cd
```

The calculation puts the total energy at -1.587 Ha/atom. Its formation energy is 0.068 eV/atom. Its total magnetic moment is 0.000 μB per atom. The crystal system is tetragonal. The calculation puts the volume at 102 Å³/f.u.

Computed, not measured: CdInPb2 at its PBEsol-relaxed geometry at the SCAN level of DFT.

Structure (POSCAR):
```
CdInPb2
1.0
3.3808 0.0000 -0.4842
0.0000 4.7008 0.0000
-1.8608 0.0000 7.0037
Pb In Cd
2 1 1
Cartesian
1.0622 0.0000 4.9369 Pb
0.4578 0.0000 1.5826 Pb
-0.9304 2.3504 3.5019 In
1.6904 2.3504 -0.2421 Cd
```

The calculation puts the total energy at -1.976 Ha/atom. Its formation energy is 0.071 eV/atom. Its total magnetic moment is 0.000 μB per atom. The crystal system is monoclinic. The calculation puts the volume at 107 Å³/f.u.

Computed, not measured: CdInPb2 at its PBEsol-relaxed geometry at the SCAN level of DFT.

Structure (POSCAR):
```
CdInPb2
1.0
3.4070 0.0000 0.0000
0.0000 5.7951 -0.2705
-1.7035 -1.2647 5.4627
Pb In Cd
2 1 1
Cartesian
0.0000 0.1173 0.0577 Pb
0.0000 3.5744 2.4225 Pb
1.7035 0.7502 2.8053 In
0.0000 1.7214 5.2342 Cd
```

The calculation puts the total energy at -1.976 Ha/atom. Its formation energy is 0.060 eV/atom. Its total magnetic moment is 0.000 μB per atom. The crystal system is monoclinic. The calculation puts the volume at 107 Å³/f.u.

Computed, not measured: CdInPb2 at its PBEsol-relaxed geometry at the SCAN level of DFT.

Structure (POSCAR):
```
CdInPb2
1.0
3.7979 0.0000 0.0000
0.0000 3.7979 0.0000
0.0000 0.0000 7.4828
Pb Cd In
2 1 1
Cartesian
0.0000 0.0000 7.3233 Pb
1.8989 1.8989 2.0806 Pb
0.0000 0.0000 3.8487 Cd
1.8989 1.8989 5.4546 In
```

The calculation puts the total energy at -1.976 Ha/atom. Its formation energy is 0.069 eV/atom. Its total magnetic moment is 0.000 μB per atom. The crystal system is tetragonal. The calculation puts the volume at 108 Å³/f.u.

Computed, not measured: CdIn2Pt at its PBEsol-relaxed geometry at the SCAN level of DFT.

Structure (POSCAR):
```
CdIn2Pt
1.0
-2.7703 -2.4677 2.3316
0.8741 -3.4263 -2.5878
3.9880 1.8620 2.5915
Cd Pt In
1 1 2
Cartesian
0.0000 0.0000 0.0000 Cd
-0.9481 -2.9470 -0.1281 Pt
0.1348 -1.7764 2.3975 In
1.9570 -2.2557 -0.0622 In
```

The calculation puts the total energy at -1.541 Ha/atom. Its formation energy is -0.085 eV/atom. Its total magnetic moment is 0.000 μB per atom. The crystal system is tetragonal. The calculation puts the volume at 78 Å³/f.u.

Computed, not measured: Cd2InPt at its PBEsol-relaxed geometry at the SCAN level of DFT.

Structure (POSCAR):
```
Cd2InPt
1.0
4.2574 0.0000 0.0000
0.0000 4.2574 0.0000
-2.1287 -2.1287 4.0737
Cd Pt In
2 1 1
Cartesian
0.0000 0.0000 0.0000 Cd
0.0000 2.1287 2.0369 Cd
2.1287 0.0000 2.0369 Pt
2.1287 2.1287 0.0000 In
```

The calculation puts the total energy at -1.518 Ha/atom. Its formation energy is -0.200 eV/atom. Its total magnetic moment is 0.000 μB per atom. The crystal system is tetragonal. The calculation puts the volume at 74 Å³/f.u.

Computed, not measured: Cd2InPt at its PBEsol-relaxed geometry at the SCAN level of DFT.

Structure (POSCAR):
```
Cd2InPt
1.0
3.1196 0.0000 0.0000
1.5598 2.7017 0.0000
1.5598 0.9006 9.2428
Cd Pt In
2 1 1
Cartesian
4.6794 2.7017 0.1748 Cd
4.6794 2.7017 6.9689 Cd
1.5598 0.9006 2.3168 Pt
3.1196 1.8011 4.4036 In
```

The calculation puts the total energy at -1.513 Ha/atom. Its formation energy is -0.071 eV/atom. Its total magnetic moment is 0.000 μB per atom. The crystal system is trigonal. The calculation puts the volume at 78 Å³/f.u.

Computed, not measured: Cd2InPt at its PBEsol-relaxed geometry at the SCAN level of DFT.

Structure (POSCAR):
```
Cd2InPt
1.0
-3.2417 2.9305 -1.7965
-4.1895 0.4809 2.1309
-1.0586 4.0174 2.2503
Cd Pt In
2 1 1
Cartesian
0.0000 0.0000 0.0000 Cd
-6.3674 5.5716 1.9385 Cd
-2.1225 1.8572 0.6462 Pt
-4.2449 3.7144 1.2924 In
```

The calculation puts the total energy at -1.515 Ha/atom. Its formation energy is -0.135 eV/atom. Its total magnetic moment is 0.000 μB per atom. The crystal system is cubic. The calculation puts the volume at 75 Å³/f.u.

Computed, not measured: CdInPt2 at its PBEsol-relaxed geometry at the SCAN level of DFT.

Structure (POSCAR):
```
CdInPt2
1.0
-1.8803 1.9562 1.1202
-3.2076 -3.4608 0.6595
1.7952 -0.8175 4.4412
In Pt Cd
1 2 1
Cartesian
-2.2508 -0.8858 1.6153 In
0.1460 -0.0665 0.3611 Pt
-0.4036 -2.2770 3.2989 Pt
0.1133 0.4984 3.1662 Cd
```

The calculation puts the total energy at -1.891 Ha/atom. Its formation energy is -0.404 eV/atom. Its total magnetic moment is 0.000 μB per atom. The crystal system is orthorhombic. The calculation puts the volume at 68 Å³/f.u.